Material: PrCdIn2Au4
Method: DFT, PBE
State: optimized geometry

Calculated values
* volume: 177 Å³/cell
* space-group type: R-3m (166)
* crystal system: trigonal
* energy of formation: -0.410 eV/atom
* E: -3.45 eV/atom
* ρ: 11.95 g/cm3

Cell: 4.7508 4.7508 9.4430 Å, 75.43 75.43 60.00°
Closest atoms and distances in Å follow each position.
Fractional coordinates of all 8 atoms:
Pr 0.0000 0.0000 0.0000  6 Au 3.15
Cd 0.5000 0.5000 0.5000  8 Au 2.91-2.97
In 0.7543 0.7543 0.7370  7 Au 2.87-3.12
In 0.2457 0.2457 0.2630  7 Au 2.87-3.12
Au 0.3904 0.3904 0.8289  3 In 2.87, 1 Cd 2.97, 3 Pr 3.15
Au 0.8693 0.8693 0.3921  3 Cd 2.91, 4 In 2.98-3.12
Au 0.1307 0.1307 0.6079  3 Cd 2.91, 4 In 2.98-3.12
Au 0.6096 0.6096 0.1711  3 In 2.87, 1 Cd 2.97, 3 Pr 3.15